Ba3Mg2Hg4Au2 | PBE-GGA | relaxed

## Properties
* electronic total energy: -21.60 eV for the cell shown
* symmetry: P-3m1 (164)
* DOS(E_F): 0.53 states/eV/atom
* ΔH_f (0 K): -42.8 kJ/mol of atoms

Cell lengths 5.0107, 5.0107, 16.0502 Å; angles 90.00, 90.00, 120.00 degrees
Fractional positions:
Ba 0.0000 0.0000 0.7353
Ba 0.0000 0.0000 0.0000
Ba 0.0000 0.0000 0.2647
Mg 0.6667 0.3333 0.4315
Mg 0.3333 0.6667 0.5685
Hg 0.6667 0.3333 0.1341
Hg 0.3333 0.6667 0.8659
Hg 0.6667 0.3333 0.6076
Hg 0.3333 0.6667 0.3924
Au 0.6667 0.3333 0.8667
Au 0.3333 0.6667 0.1333